No. 1
A geometry-optimized Zn3IrO structure. Source: Alexandria via LeMat-Bulk, functional GGA-PBE.

a b c (Å): 4.764 4.764 4.764
angles (deg): 90.00 90.00 90.00
Fractional coordinates of all 5 atoms:
Zn (0.000, 0.000, 0.500)
Zn (0.000, 0.500, 0.000)
Zn (0.500, 0.000, 0.000)
Ir (0.000, 0.000, 0.000)
O (0.500, 0.500, 0.500)

symmetry = No. 221
total energy = -2.806 eV per atom
formation energy without anion corrections = 0.72 eV/atom
distance to the lowest polymorph of the same formula = 0.892 eV per atom
DOS at the Fermi energy = 5.64 states/eV/f.u.
density = 6.211 g cm⁻³


No. 2
A geometry-optimized MnAg2Pd9 structure. Source: Alexandria via LeMat-Bulk, functional GGA-PBE.

a b c (Å): 3.972 3.972 11.899
angles (deg): 90.00 90.00 90.00
Fractional coordinates of all 12 atoms:
Mn (0.000, 0.000, 0.000)
Ag (0.000, 0.000, 0.331)
Ag (0.000, 0.000, 0.669)
Pd (0.000, 0.500, 0.160)
Pd (0.000, 0.500, 0.500)
Pd (0.000, 0.500, 0.840)
Pd (0.500, 0.000, 0.160)
Pd (0.500, 0.000, 0.500)
Pd (0.500, 0.000, 0.840)
Pd (0.500, 0.500, 0.000)
Pd (0.500, 0.500, 0.330)
Pd (0.500, 0.500, 0.670)

symmetry = No. 123
formation energy = -0.085 eV per atom
total energy = -5.219 eV per atom
DOS at the Fermi energy = 12.98 states/eV/f.u.
density = 10.868 g cm⁻³


No. 3
A geometry-optimized La2InP structure. Source: Alexandria via LeMat-Bulk, functional GGA-PBE.

a b c (Å): 8.612 8.612 8.612
angles (deg): 28.07 28.07 28.07
Fractional coordinates of all 4 atoms:
La (0.235, 0.235, 0.235)
La (0.765, 0.765, 0.765)
In (0.000, 0.000, 0.000)
P (0.500, 0.500, 0.500)

symmetry = No. 166
formation energy = -0.957 eV per atom
total energy = -5.458 eV per atom
distance to the lowest polymorph of the same formula = 0.000 eV per atom
DOS at the Fermi energy = 2.55 states/eV/f.u.
density = 5.628 g cm⁻³


No. 4
A geometry-optimized BaSnSbTe2 structure. Source: Alexandria via LeMat-Bulk, functional GGA-PBE.

a b c (Å): 5.865 5.865 5.621
angles (deg): 90.00 90.00 90.00
Fractional coordinates of all 5 atoms:
Ba (0.000, 0.000, 0.000)
Sn (0.500, 0.500, 0.500)
Sb (0.500, 0.500, 0.000)
Te (0.000, 0.500, 0.500)
Te (0.500, 0.000, 0.500)

symmetry = No. 123
total energy = -3.612 eV per atom
formation energy without anion corrections = -0.35 eV/atom
distance to the lowest polymorph of the same formula = 0.000 eV per atom
DOS at the Fermi energy = 5.40 states/eV/f.u.
density = 5.436 g cm⁻³


No. 5
A geometry-optimized InRe2Os structure. Source: Alexandria via LeMat-Bulk, functional GGA-PBE.

a b c (Å): 3.895 3.895 4.233
angles (deg): 90.00 90.00 90.00
Fractional coordinates of all 4 atoms:
In (0.000, 0.000, 0.000)
Re (0.000, 0.500, 0.500)
Re (0.500, 0.000, 0.500)
Os (0.500, 0.500, 0.000)

symmetry = No. 123
formation energy = 0.724 eV per atom
total energy = -8.992 eV per atom
DOS at the Fermi energy = 5.66 states/eV/f.u.
density = 17.514 g cm⁻³


Q: What is the density in the first record?
A: 6.211 g cm⁻³


Q: Among the records above, which one has the lowest DOS at the Fermi energy?
A: La2InP